First-principles (GGA+U) data for a relaxed Li4Mn3Fe3Te2O16 crystal, as listed in Alexandria.

The structure in CIF format:
```
data_Li4Mn3Fe3Te2O16
_chemical_formula_sum 'Li4 Mn3 Fe3 Te2 O16'
_cell_length_a 6.058
_cell_length_b 6.058
_cell_length_c 9.891
_cell_angle_alpha 91.03
_cell_angle_beta 91.03
_cell_angle_gamma 59.84
_symmetry_space_group_name_H-M 'P 1'
_symmetry_Int_Tables_number 1
loop_
_symmetry_equiv_pos_as_xyz
'x,y,z'
loop_
_atom_site_label
_atom_site_type_symbol
_atom_site_fract_x
_atom_site_fract_y
_atom_site_fract_z
Li1 Li 0.000 0.000 0.000
Li2 Li 0.001 0.001 0.506
Li3 Li 0.336 0.336 0.579
Li4 Li 0.669 0.669 0.078
Mn1 Mn 0.170 0.170 0.278
Mn2 Mn 0.343 0.827 0.780
Mn3 Mn 0.827 0.343 0.780
Fe1 Fe 0.168 0.668 0.277
Fe2 Fe 0.668 0.168 0.277
Fe3 Fe 0.828 0.828 0.773
Te1 Te 0.334 0.334 0.007
Te2 Te 0.668 0.668 0.506
O1 O 0.001 0.001 0.697
O2 O 0.007 0.007 0.184
O3 O 0.043 0.487 0.137
O4 O 0.171 0.653 0.902
O5 O 0.172 0.172 0.904
O6 O 0.325 0.835 0.394
O7 O 0.332 0.332 0.375
O8 O 0.482 0.482 0.139
O9 O 0.487 0.043 0.137
O10 O 0.522 0.522 0.635
O11 O 0.528 0.969 0.641
O12 O 0.653 0.171 0.902
O13 O 0.671 0.671 0.879
O14 O 0.835 0.325 0.394
O15 O 0.840 0.840 0.384
O16 O 0.969 0.528 0.641
```

Computed properties:
Fermi-level density of states: 0.108 states/eV/atom
SG: No. 8
Density: 4.61 g cm⁻³
Total moment: 26.95 μB/cell
Crystal system: monoclinic

---

First-principles (GGA+U) data for a relaxed Na5Ni2F12 crystal, as listed in Alexandria.

The structure in CIF format:
```
data_Na5Ni2F12
_chemical_formula_sum 'Na5 Ni2 F12'
_cell_length_a 6.908
_cell_length_b 6.908
_cell_length_c 7.389
_cell_angle_alpha 105.94
_cell_angle_beta 105.94
_cell_angle_gamma 49.88
_symmetry_space_group_name_H-M 'P 1'
_symmetry_Int_Tables_number 1
loop_
_symmetry_equiv_pos_as_xyz
'x,y,z'
loop_
_atom_site_label
_atom_site_type_symbol
_atom_site_fract_x
_atom_site_fract_y
_atom_site_fract_z
Na1 Na 0.000 0.000 0.000
Na2 Na 0.301 0.301 0.128
Na3 Na 0.306 0.306 0.671
Na4 Na 0.694 0.694 0.329
Na5 Na 0.699 0.699 0.872
Ni1 Ni 0.248 0.752 0.500
Ni2 Ni 0.752 0.248 0.500
F1 F 0.003 0.003 0.677
F2 F 0.099 0.599 0.920
F3 F 0.105 0.594 0.430
F4 F 0.401 0.901 0.080
F5 F 0.406 0.895 0.570
F6 F 0.497 0.497 0.323
F7 F 0.503 0.503 0.677
F8 F 0.594 0.105 0.430
F9 F 0.599 0.099 0.920
F10 F 0.895 0.406 0.570
F11 F 0.901 0.401 0.080
F12 F 0.997 0.997 0.323
```

Computed properties:
Fermi-level density of states: 0.278 states/eV/atom
SG: No. 12
Density: 2.97 g cm⁻³
Total moment: 3.03 μB/cell
Crystal system: monoclinic

---

Raw total energy readings, ordered: -6.287 -3.968 eV per atom